[1]
First-principles (PBE) data for a geometry-optimized SbHS2N structure, as listed in Alexandria.

Cell and atoms, written as CIF:
```
data_SbHS2N
_cell_length_a 5.036
_cell_length_b 5.036
_cell_length_c 4.163
_cell_angle_alpha 90.00
_cell_angle_beta 90.00
_cell_angle_gamma 90.00
_space_group_name_H-M_alt 'P 4/m m m'
_space_group_IT_number 123
_space_group_name_Hall '-P 4 2'
loop_
_atom_site_label
_atom_site_type_symbol
_atom_site_fract_x
_atom_site_fract_y
_atom_site_fract_z
_atom_site_occupancy
Sb1 Sb 0.000 0.000 0.000 1
H1 H 0.500 0.500 0.500 1
S1 S 0.000 0.500 0.000 1
N1 N 0.000 0.000 0.500 1
```

## Properties
Energy above the lowest structure with this stoichiometry   419 meV per atom
Calculated density   3.2 g cm⁻³

***

[2]
First-principles (PBE) data for a geometry-optimized SbHS2N structure, as listed in Alexandria.

Cell and atoms, written as CIF:
```
data_SbHS2N
_cell_length_a 3.442
_cell_length_b 3.442
_cell_length_c 6.778
_cell_angle_alpha 90.00
_cell_angle_beta 90.00
_cell_angle_gamma 90.00
_space_group_name_H-M_alt 'P 4/m m m'
_space_group_IT_number 123
_space_group_name_Hall '-P 4 2'
loop_
_atom_site_label
_atom_site_type_symbol
_atom_site_fract_x
_atom_site_fract_y
_atom_site_fract_z
_atom_site_occupancy
Sb1 Sb 0.000 0.000 0.000 1
H1 H 0.500 0.500 0.500 1
S1 S 0.000 0.500 0.500 1
N1 N 0.500 0.500 0.000 1
```

## Properties
Energy above the lowest structure with this stoichiometry   0 meV per atom
Calculated density   4.2 g cm⁻³

***

Copy entry 1 word for word.
First-principles (PBE) data for a geometry-optimized SbHS2N structure, as listed in Alexandria.

Cell and atoms, written as CIF:
```
data_SbHS2N
_cell_length_a 5.036
_cell_length_b 5.036
_cell_length_c 4.163
_cell_angle_alpha 90.00
_cell_angle_beta 90.00
_cell_angle_gamma 90.00
_space_group_name_H-M_alt 'P 4/m m m'
_space_group_IT_number 123
_space_group_name_Hall '-P 4 2'
loop_
_atom_site_label
_atom_site_type_symbol
_atom_site_fract_x
_atom_site_fract_y
_atom_site_fract_z
_atom_site_occupancy
Sb1 Sb 0.000 0.000 0.000 1
H1 H 0.500 0.500 0.500 1
S1 S 0.000 0.500 0.000 1
N1 N 0.000 0.000 0.500 1
```

## Properties
Energy above the lowest structure with this stoichiometry   419 meV per atom
Calculated density   3.2 g cm⁻³

***

> energy above the lowest structure with this stoichiometry of number 2 (SbHS2N)?

0 meV per atom

***

> calculated density of number 2 (SbHS2N)?

4.2 g cm⁻³